Entry 1:
Density functional theory data (GGA-PBEsol) for crystalline RbBa3Zn at its relaxed geometry.

Properties
The calculated volume comes out at 286.1 Å³/f.u. For the formation energy, the calculation gives 52 meV per atom. The calculation puts the magnetic moment at 0.00 μB per formula unit. As for the space group: Pm-3m, No. 221. Its density is 3267 kg/m³.

Cell lengths 6.5892, 6.5892, 6.5892 Å; angles 90.00, 90.00, 90.00 degrees
Element x y z (fractional)
1 Rb 0.0000 0.0000 0.0000
2 Ba 0.0000 0.5000 0.5000
3 Ba 0.5000 0.0000 0.5000
4 Ba 0.5000 0.5000 0.0000
5 Zn 0.5000 0.5000 0.5000

=====

Entry 2:
Density functional theory data (GGA-PBEsol) for crystalline RbBaZn3 at its relaxed geometry.

Properties
The calculated volume comes out at 225.3 Å³/f.u. For the formation energy, the calculation gives 593 meV per atom. The calculation puts the magnetic moment at 0.00 μB per formula unit. As for the space group: Pm-3m, No. 221. Its density is 3088 kg/m³.

Cell lengths 6.0848, 6.0848, 6.0848 Å; angles 90.00, 90.00, 90.00 degrees
Element x y z (fractional)
1 Rb 0.0000 0.0000 0.0000
2 Ba 0.5000 0.5000 0.5000
3 Zn 0.0000 0.5000 0.5000
4 Zn 0.5000 0.0000 0.5000
5 Zn 0.5000 0.5000 0.0000

=====

Entry 3:
Density functional theory data (GGA-PBEsol) for crystalline Ba2Re3 at its relaxed geometry.

Properties
The calculated volume comes out at 129.1 Å³/f.u. For the formation energy, the calculation gives 1443 meV per atom. The calculation puts the magnetic moment at 0.01 μB per formula unit. As for the space group: P-3m1, No. 164. Its density is 10721 kg/m³.

Cell lengths 3.5762, 3.5762, 11.6533 Å; angles 90.00, 90.00, 120.00 degrees
Element x y z (fractional)
1 Ba 0.3333 0.6667 0.3005
2 Ba 0.6667 0.3333 0.6995
3 Re 0.0000 0.0000 0.5000
4 Re 0.3333 0.6667 0.9499
5 Re 0.6667 0.3333 0.0501

=====

Please write out number 3 again, unchanged.
Density functional theory data (GGA-PBEsol) for crystalline Ba2Re3 at its relaxed geometry.

Properties
The calculated volume comes out at 129.1 Å³/f.u. For the formation energy, the calculation gives 1443 meV per atom. The calculation puts the magnetic moment at 0.01 μB per formula unit. As for the space group: P-3m1, No. 164. Its density is 10721 kg/m³.

Cell lengths 3.5762, 3.5762, 11.6533 Å; angles 90.00, 90.00, 120.00 degrees
Element x y z (fractional)
1 Ba 0.3333 0.6667 0.3005
2 Ba 0.6667 0.3333 0.6995
3 Re 0.0000 0.0000 0.5000
4 Re 0.3333 0.6667 0.9499
5 Re 0.6667 0.3333 0.0501

=====

- The highest calculated volume belongs to which entry?
  RbBa3Zn